A geometry-optimized LaOsPbO6 structure, computed with GGA-PBE.

The calculation puts the total energy at -129.39 eV per cell. As for the energy relative to the elements, uncorrected: -1676 meV/atom.

a b c (Å): 5.8529 5.8529 9.6424
angles (deg): 90.00 90.00 120.00
Closest atoms and distances in Å follow each position.
Fractional positions:
O1 0.0600 0.6608 0.8616  1 Os 1.91
O2 0.3392 0.9400 0.6384  1 Os 1.91
Pb1 0.0000 0.0000 0.5000  6 O 2.56
O3 0.3993 0.3392 0.3616  1 Os 1.91
O4 0.3993 0.0600 0.1384  1 Os 1.91
O5 0.6608 0.0600 0.3616  1 Os 1.91
Os1 0.6667 0.3333 0.2500  6 O 1.91
O6 0.0600 0.3993 0.6384  1 Os 1.91
Os2 0.3333 0.6667 0.7500  6 O 1.91
O7 0.9400 0.3392 0.1384  1 Os 1.91
La1 0.3333 0.6667 0.2500  6 O 2.39
O8 0.6007 0.9400 0.8616  1 Os 1.91
O9 0.9400 0.6007 0.3616  1 Os 1.91
O10 0.6007 0.6608 0.6384  1 Os 1.91
O11 0.6608 0.6007 0.1384  1 Os 1.91
Pb2 0.0000 0.0000 0.0000  6 O 2.56
La2 0.6667 0.3333 0.7500  6 O 2.39
O12 0.3392 0.3993 0.8616  1 Os 1.91



A geometry-optimized RbLaOs2O8 structure, computed with GGA-PBE.

The calculation puts the total energy at -86.66 eV per cell. As for the energy relative to the elements, uncorrected: -1553 meV/atom.

a b c (Å): 6.1360 6.1360 8.1703
angles (deg): 90.00 90.00 120.00
Closest atoms and distances in Å follow each position.
Fractional positions:
O1 0.1702 0.3468 0.6869  1 Os 1.82
O2 0.3333 0.6667 0.9835  1 Os 1.77
O3 0.6667 0.3333 0.0165  1 Os 1.77
Os1 0.3333 0.6667 0.7673  4 O 1.77-1.82
O4 0.8234 0.1702 0.3131  1 Os 1.82
O5 0.1766 0.8298 0.6869  1 Os 1.82
La1 0.0000 0.0000 0.5000  6 O 2.39
Os2 0.6667 0.3333 0.2327  4 O 1.77-1.82
O6 0.3468 0.1766 0.3131  1 Os 1.82
O7 0.8298 0.6532 0.3131  1 Os 1.82
Rb1 0.0000 0.0000 0.0000  6 O 3.15
O8 0.6532 0.8234 0.6869  1 Os 1.82



A geometry-optimized LaOsRh2O8 structure, computed with GGA-PBE.

The calculation puts the total energy at -86.10 eV per cell. As for the energy relative to the elements, uncorrected: -1298 meV/atom.

a b c (Å): 4.7454 4.7420 6.6348
angles (deg): 90.00 90.00 88.88
Closest atoms and distances in Å follow each position.
Fractional positions:
O1 0.2940 0.2934 0.0000  1 Os 1.99, 2 Rh 2.12
Rh1 0.5000 0.5000 0.7590  6 O 2.00-2.12
O2 0.2006 0.7986 0.7922  1 Os 1.92, 1 Rh 2.00
Rh2 0.5000 0.5000 0.2410  6 O 2.00-2.12
O3 0.7994 0.2014 0.2078  1 Os 1.92, 1 Rh 2.00
O4 0.6689 0.6703 0.5000  2 Rh 2.07, 1 La 2.24, 1 O 2.30
La1 0.0000 0.0000 0.5000  6 O 2.24-2.35
O5 0.3311 0.3297 0.5000  2 Rh 2.07, 1 La 2.24, 1 O 2.30
O6 0.2006 0.7986 0.2078  1 Os 1.92, 1 Rh 2.00
Os1 0.0000 0.0000 0.0000  6 O 1.92-1.99
O7 0.7060 0.7066 0.0000  1 Os 1.99, 2 Rh 2.12
O8 0.7994 0.2014 0.7922  1 Os 1.92, 1 Rh 2.00



A geometry-optimized LaSmOsO6 structure, computed with GGA-PBE.

The calculation puts the total energy at -143.22 eV per cell. As for the energy relative to the elements, uncorrected: -2332 meV/atom.

a b c (Å): 5.6466 5.6466 9.9714
angles (deg): 90.00 90.00 120.00
Closest atoms and distances in Å follow each position.
Fractional positions:
O1 0.3806 0.0504 0.1391  1 Os 1.95
O2 0.6698 0.0504 0.3609  1 Os 1.95
La1 0.0000 0.0000 0.5000  6 O 2.45
Os1 0.3333 0.6667 0.7500  6 O 1.95
O3 0.3302 0.3806 0.8609  1 Os 1.95
O4 0.0504 0.6698 0.8609  1 Os 1.95
La2 0.0000 0.0000 0.0000  6 O 2.45
O5 0.3302 0.9496 0.6391  1 Os 1.95
O6 0.0504 0.3806 0.6391  1 Os 1.95
O7 0.6194 0.6698 0.6391  1 Os 1.95
Os2 0.6667 0.3333 0.2500  6 O 1.95
Sm1 0.3333 0.6667 0.2500  6 O 2.33
O8 0.6194 0.9496 0.8609  1 Os 1.95
Sm2 0.6667 0.3333 0.7500  6 O 2.33
O9 0.9496 0.6194 0.3609  1 Os 1.95
O10 0.6698 0.6194 0.1391  1 Os 1.95
O11 0.3806 0.3302 0.3609  1 Os 1.95
O12 0.9496 0.3302 0.1391  1 Os 1.95



A geometry-optimized La2SnOsO structure, computed with GGA-PBE.

The calculation puts the total energy at -34.02 eV per cell. As for the energy relative to the elements, uncorrected: -794 meV/atom.

a b c (Å): 4.9355 4.5339 4.9355
angles (deg): 90.00 90.00 90.00
Closest atoms and distances in Å follow each position.
Fractional positions:
La1 0.0000 0.0000 0.5000  2 O 2.47
La2 0.5000 0.0000 0.0000  2 O 2.47
Sn1 0.0000 0.5000 0.0000  2 O 2.27
Os1 0.5000 0.5000 0.5000  8 La 3.35, 4 Sn 3.49
O1 0.0000 0.0000 0.0000  2 Sn 2.27, 4 La 2.47



A geometry-optimized SrLaOs2O8 structure, computed with GGA-PBE.

The calculation puts the total energy at -88.50 eV per cell. As for the energy relative to the elements, uncorrected: -1647 meV/atom.

a b c (Å): 5.9950 5.9950 7.4141
angles (deg): 90.00 90.00 120.00
Closest atoms and distances in Å follow each position.
Fractional positions:
Os1 0.6667 0.3333 0.1920  4 O 1.79-1.85
O1 0.8345 0.1648 0.2741  1 Os 1.85
La1 0.0000 0.0000 0.5000  6 O 2.40
O2 0.3333 0.6667 0.0492  1 Os 1.79
Os2 0.3333 0.6667 0.8080  4 O 1.79-1.85
O3 0.6667 0.3333 0.9508  1 Os 1.79
O4 0.1655 0.8352 0.7259  1 Os 1.85
Sr1 0.0000 0.0000 0.0000  6 O 2.66
O5 0.3303 0.1655 0.2741  1 Os 1.85
O6 0.6697 0.8345 0.7259  1 Os 1.85
O7 0.1648 0.3303 0.7259  1 Os 1.85
O8 0.8352 0.6697 0.2741  1 Os 1.85



A geometry-optimized Sr2LaOsO8 structure, computed with GGA-PBE.

The calculation puts the total energy at -82.79 eV per cell. As for the energy relative to the elements, uncorrected: -1967 meV/atom.

a b c (Å): 5.1070 5.2783 7.1295
angles (deg): 89.94 90.02 91.46
Closest atoms and distances in Å follow each position.
Fractional positions:
O1 0.6897 0.8141 0.9995  1 Os 1.84
La1 0.0000 0.0000 0.5000  6 O 2.34-2.53
Sr1 0.4998 0.4994 0.7638  6 O 2.43-2.54
O2 0.3103 0.1859 0.0005  1 Os 1.84
O3 0.4019 0.2213 0.4998  1 La 2.34, 2 Sr 2.43, 1 O 2.57
Sr2 0.5002 0.5006 0.2362  6 O 2.43-2.54
O4 0.1213 0.7882 0.1954  1 Os 1.90
O5 0.8776 0.2113 0.1948  1 Os 1.90
O6 0.1224 0.7887 0.8052  1 Os 1.90
O7 0.5981 0.7787 0.5002  1 La 2.34, 2 Sr 2.43, 1 O 2.57
Os1 0.0000 0.0000 0.0000  6 O 1.84-1.90
O8 0.8787 0.2118 0.8046  1 Os 1.90



A geometry-optimized LaTi2OsO structure, computed with GGA-PBE.

The calculation puts the total energy at -41.26 eV per cell. As for the energy relative to the elements, uncorrected: -872 meV/atom.

a b c (Å): 4.1128 4.9875 4.1128
angles (deg): 90.00 90.00 90.00
Closest atoms and distances in Å follow each position.
Fractional positions:
Os1 0.5000 0.5000 0.5000  4 La 2.91, 8 Ti 3.23
Ti1 0.5000 0.0000 0.0000  2 O 2.06
La1 0.0000 0.5000 0.0000  2 O 2.49
O1 0.0000 0.0000 0.0000  4 Ti 2.06
Ti2 0.0000 0.0000 0.5000  2 O 2.06



A geometry-optimized La2TiOsO structure, computed with GGA-PBE.

The calculation puts the total energy at -38.63 eV per cell. As for the energy relative to the elements, uncorrected: -939 meV/atom.

a b c (Å): 5.0938 3.9655 5.0938
angles (deg): 90.00 90.00 90.00
Closest atoms and distances in Å follow each position.
Fractional positions:
La1 0.0000 0.0000 0.5000  2 O 2.55
Os1 0.5000 0.5000 0.5000  8 La 3.23, 4 Ti 3.60
O1 0.0000 0.0000 0.0000  2 Ti 1.98
Ti1 0.0000 0.5000 0.0000  2 O 1.98
La2 0.5000 0.0000 0.0000  2 O 2.55



A geometry-optimized La2Tl2OsO6 structure, computed with GGA-PBE.

The calculation puts the total energy at -75.49 eV per cell. As for the energy relative to the elements, uncorrected: -1812 meV/atom.

a b c (Å): 6.1119 6.1119 7.1959
angles (deg): 91.38 91.38 120.67
Closest atoms and distances in Å follow each position.
Fractional positions:
O1 0.2768 0.2768 0.3547  1 Os 2.02
O2 0.7232 0.7232 0.6453  1 Os 2.02
O3 0.9954 0.7087 0.3552  1 Os 2.03
Os1 0.0000 0.0000 0.5000  6 O 2.02-2.03
O4 0.0046 0.2913 0.6448  1 Os 2.03
Tl1 0.8515 0.1485 0.0000  2 O 2.75
Tl2 0.1485 0.8515 0.0000  2 O 2.75
O5 0.7087 0.9954 0.3552  1 Os 2.03
La1 0.6643 0.3357 0.5000  6 O 2.41-2.44
O6 0.2913 0.0046 0.6448  1 Os 2.03
La2 0.3357 0.6643 0.5000  6 O 2.41-2.44



A geometry-optimized LaTlOsO6 structure, computed with GGA-PBE.

The calculation puts the total energy at -62.41 eV per cell. As for the energy relative to the elements, uncorrected: -1570 meV/atom.

a b c (Å): 5.8559 5.8560 5.5963
angles (deg): 90.00 90.00 60.00
Closest atoms and distances in Å follow each position.
Fractional positions:
O1 0.5879 0.0616 0.3073  1 Os 1.88
La1 0.6666 0.6667 0.5000  6 O 2.38
Os1 0.3333 0.3333 0.5000  6 O 1.88
Tl1 0.0000 0.0000 0.0000  6 O 2.84
O2 0.0616 0.5880 0.6926  1 Os 1.88
O3 0.5879 0.3505 0.6927  1 Os 1.88
O4 0.0616 0.3505 0.3073  1 Os 1.88
O5 0.3504 0.0616 0.6926  1 Os 1.88
O6 0.3505 0.5879 0.3073  1 Os 1.88



A geometry-optimized LaTlOs2O8 structure, computed with GGA-PBE.

The calculation puts the total energy at -86.02 eV per cell. As for the energy relative to the elements, uncorrected: -1383 meV/atom.

a b c (Å): 6.1606 6.1606 7.9347
angles (deg): 90.00 90.00 120.00
Closest atoms and distances in Å follow each position.
Fractional positions:
O1 0.3333 0.6667 0.9950  1 Os 1.77
O2 0.3473 0.1753 0.3090  1 Os 1.82
O3 0.8280 0.6527 0.3090  1 Os 1.82
O4 0.1753 0.8280 0.6910  1 Os 1.82
La1 0.0000 0.0000 0.5000  6 O 2.39
O5 0.8247 0.1720 0.3090  1 Os 1.82
O6 0.6667 0.3333 0.0050  1 Os 1.77
O7 0.6527 0.8247 0.6910  1 Os 1.82
O8 0.1720 0.3473 0.6910  1 Os 1.82
Os1 0.6667 0.3333 0.2274  4 O 1.77-1.82
Tl1 0.0000 0.0000 0.0000  6 O 3.07
Os2 0.3333 0.6667 0.7726  4 O 1.77-1.82



Among the records above, which one has the lowest energy relative to the elements, uncorrected? LaSmOsO6



Which value of energy relative to the elements, uncorrected does entry 4 give? -2332 meV/atom